Compound: KCa2CeI8
Source: Alexandria
Functional: PBE-GGA
Structure: relaxed

abc: 7.7814 7.3555 9.6287
angles: 89.99 89.99 89.85
Each line ends with the local moment (μB).
Element x y z (fractional)
K (0.0000, 0.0000, 0.5000)  0.00
Ca (0.5000, 0.5000, 0.7452)  0.00
Ca (0.5000, 0.5000, 0.2548)  0.00
Ce (0.0000, 0.0000, 0.0000)  1.00
I (0.1666, 0.7496, 0.2257)  -0.01
I (0.6634, 0.7390, 0.0000)  -0.01
I (0.8332, 0.2502, 0.2257)  -0.01
I (0.8334, 0.2504, 0.7743)  -0.01
I (0.3366, 0.2610, 0.0000)  -0.01
I (0.1668, 0.7498, 0.7743)  -0.01
I (0.6399, 0.7301, 0.4999)  0.00
I (0.3601, 0.2699, 0.5001)  0.00

Properties
- formation energy (no corrections) (meV/atom) = -1460.0
- DOS(E_F) (states/eV per cell) = 8.027

Compound: Li2CaCeI8
Source: Alexandria
Functional: PBE-GGA
Structure: relaxed

abc: 7.5712 7.2019 8.9648
angles: 89.95 89.95 95.18
Element x y z (fractional)
Li (0.5000, 0.4989, 0.7268)
Li (0.5000, 0.5011, 0.2732)
Ca (0.0000, 0.0000, 0.5000)
Ce (0.0000, 0.0000, 0.0000)
I (0.1643, 0.7703, 0.2402)
I (0.6713, 0.7239, 0.0003)
I (0.8356, 0.2295, 0.2400)
I (0.8357, 0.2297, 0.7598)
I (0.3287, 0.2761, 0.9997)
I (0.1644, 0.7705, 0.7600)
I (0.6644, 0.7250, 0.5003)
I (0.3356, 0.2750, 0.4997)

Properties
- formation energy (no corrections) (meV/atom) = -1231.7

Compound: Na2CaCeI8
Source: Alexandria
Functional: PBE-GGA
Structure: relaxed

abc: 7.7914 7.3283 9.3045
angles: 90.00 90.00 94.33
Each line ends with the local moment (μB).
Element x y z (fractional)
Na (0.4999, 0.5001, 0.7368)  0.00
Na (0.5001, 0.4999, 0.2632)  0.00
Ca (0.0000, 0.0000, 0.5000)  0.00
Ce (0.0000, 0.0000, 0.0000)  0.13
I (0.1509, 0.7728, 0.2362)  -0.01
I (0.6750, 0.7452, 0.0000)  -0.01
I (0.8492, 0.2273, 0.2362)  -0.01
I (0.8491, 0.2272, 0.7638)  -0.01
I (0.3250, 0.2548, 0.0000)  -0.01
I (0.1508, 0.7727, 0.7638)  -0.01
I (0.6764, 0.7408, 0.5000)  0.00
I (0.3236, 0.2592, 0.5000)  0.00

Properties
- formation energy (no corrections) (meV/atom) = -1260.6
- DOS(E_F) (states/eV per cell) = 2.507

Compound: Ca2CeIO8
Source: Alexandria
Functional: PBE-GGA
Structure: relaxed

abc: 5.0474 5.0530 7.0203
angles: 90.00 90.00 92.93
Each line ends with the local moment (μB).
Element x y z (fractional)
Ca (0.5000, 0.5000, 0.7597)  0.00
Ca (0.5000, 0.5000, 0.2403)  0.00
Ce (0.0000, 0.0000, 0.5000)  0.05
I (0.0000, 0.0000, 0.0000)  -0.02
O (0.1757, 0.8236, 0.2011)  0.08
O (0.7303, 0.7316, 0.0000)  0.13
O (0.8243, 0.1764, 0.2011)  0.08
O (0.8243, 0.1764, 0.7989)  0.08
O (0.2697, 0.2684, 0.0000)  0.13
O (0.1757, 0.8236, 0.7989)  0.08
O (0.7079, 0.7084, 0.5000)  0.07
O (0.2921, 0.2916, 0.5000)  0.07

Properties
- formation energy (no corrections) (meV/atom) = -1942.9
- DOS(E_F) (states/eV per cell) = 6.493

Compound: CaCeTlI6
Source: Alexandria
Functional: PBE-GGA
Structure: relaxed

abc: 8.0906 8.0906 15.3615
angles: 90.00 90.00 120.00
Each line ends with the local moment (μB).
Element x y z (fractional)
Ca (0.3333, 0.6667, 0.2500)  0.00
Ca (0.6667, 0.3333, 0.7500)  0.00
Ce (0.6667, 0.3333, 0.2500)  0.99
Ce (0.3333, 0.6667, 0.7500)  0.99
Tl (0.0000, 0.0000, 0.0000)  0.00
Tl (0.0000, 0.0000, 0.5000)  0.00
I (0.6371, 0.6374, 0.1321)  -0.01
I (0.0003, 0.3629, 0.1321)  -0.01
I (0.3629, 0.0003, 0.6321)  -0.01
I (0.9997, 0.6371, 0.8679)  -0.01
I (0.3626, 0.3629, 0.3679)  -0.01
I (0.0003, 0.6374, 0.3679)  -0.01
I (0.6374, 0.0003, 0.8679)  -0.01
I (0.6371, 0.9997, 0.3679)  -0.01
I (0.9997, 0.3626, 0.6321)  -0.01
I (0.3626, 0.9997, 0.1321)  -0.01
I (0.6374, 0.6371, 0.6321)  -0.01
I (0.3629, 0.3626, 0.8679)  -0.01

Properties
- formation energy (no corrections) (meV/atom) = -1282.1
- DOS(E_F) (states/eV per cell) = 16.331

Compound: CaCeIn4
Source: Alexandria
Functional: PBE-GGA
Structure: relaxed

abc: 3.6175 5.0472 8.8667
angles: 90.00 90.02 90.00
Each line ends with the local moment (μB).
Element x y z (fractional)
Ca (0.5000, 0.0000, 0.0000)  0.01
Ce (0.5000, 0.5000, 0.5000)  0.90
In (0.0034, 0.0000, 0.6661)  0.00
In (0.9972, 0.5000, 0.8339)  0.00
In (0.9966, 0.0000, 0.3339)  0.00
In (0.0028, 0.5000, 0.1661)  0.00

Properties
- energy of formation (kJ/mol of formula units) = -212.9
- ΔE to the lowest computed polymorph (meV/atom) = 0
- DOS(E_F) (states/eV per cell) = 7.484

Compound: Ca2CeIn9
Source: Alexandria
Functional: PBE-GGA
Structure: relaxed

abc: 4.7218 4.7218 14.1409
angles: 90.00 90.00 90.00
Each line ends with the local moment (μB).
Element x y z (fractional)
Ca (0.0000, 0.0000, 0.3344)  0.00
Ca (0.0000, 0.0000, 0.6656)  0.00
Ce (0.0000, 0.0000, 0.0000)  0.70
In (0.5000, 0.5000, 0.0000)  0.01
In (0.5000, 0.5000, 0.3329)  0.00
In (0.5000, 0.5000, 0.6671)  0.00
In (0.5000, 0.0000, 0.1679)  0.00
In (0.5000, 0.0000, 0.5000)  0.00
In (0.5000, 0.0000, 0.8321)  0.00
In (0.0000, 0.5000, 0.1679)  0.00
In (0.0000, 0.5000, 0.5000)  0.00
In (0.0000, 0.5000, 0.8321)  0.00

Properties
- energy of formation (kJ/mol of formula units) = -407.0
- DOS(E_F) (states/eV per cell) = 8.922

Compound: Ca2CeIn
Source: Alexandria
Functional: PBE-GGA
Structure: relaxed

abc: 5.2510 4.9500 4.9500
angles: 90.00 90.00 90.00
Each line ends with the local moment (μB).
Element x y z (fractional)
Ca (0.0000, 0.0000, 0.5000)  0.01
Ca (0.0000, 0.5000, 0.0000)  0.01
Ce (0.5000, 0.0000, 0.0000)  0.93
In (0.5000, 0.5000, 0.5000)  -0.01

Properties
- energy of formation (kJ/mol of formula units) = -44.4
- ΔE to the lowest computed polymorph (meV/atom) = 0
- DOS(E_F) (states/eV per cell) = 8.485

Compound: Ca5CeIn3
Source: Alexandria
Functional: PBE-GGA
Structure: relaxed

abc: 7.0495 9.6273 9.6271
angles: 120.00 90.00 90.00
Each line ends with the local moment (μB).
Element x y z (fractional)
Ca (0.0000, 0.6667, 0.3333)  0.00
Ca (0.5000, 0.3333, 0.6667)  0.00
Ca (0.0000, 0.3333, 0.6667)  0.00
Ca (0.5000, 0.6667, 0.3333)  0.00
Ca (0.7500, 0.6603, 0.6603)  0.01
Ca (0.7500, 0.0000, 0.3397)  0.01
Ca (0.7500, 0.3397, 0.0000)  0.01
Ca (0.2500, 0.3397, 0.3397)  0.01
Ca (0.2500, 0.0000, 0.6603)  0.01
Ca (0.2500, 0.6603, 0.0000)  0.01
Ce (0.0000, 0.0000, 0.0000)  1.01
Ce (0.5000, 0.0000, 0.0000)  1.01
In (0.7500, 0.3231, 0.3231)  0.00
In (0.7500, 0.0000, 0.6769)  0.00
In (0.7500, 0.6769, 0.0000)  0.00
In (0.2500, 0.6769, 0.6769)  0.00
In (0.2500, 0.0000, 0.3231)  0.00
In (0.2500, 0.3231, 0.0000)  0.00

Properties
- energy of formation (kJ/mol of formula units) = -261.3
- DOS(E_F) (states/eV per cell) = 30.817

Compound: Ca5CeIn6
Source: Alexandria
Functional: PBE-GGA
Structure: relaxed

abc: 5.4322 7.8015 9.4502
angles: 65.63 73.24 90.00
Each line ends with the local moment (μB).
Element x y z (fractional)
Ca (0.6684, 0.1681, 0.6639)  0.00
Ca (0.3321, 0.3324, 0.3352)  0.00
Ca (0.0000, 0.5000, 0.0000)  0.00
Ca (0.6679, 0.6676, 0.6648)  0.00
Ca (0.3316, 0.8319, 0.3361)  0.00
Ce (0.0000, 0.0000, 0.0000)  0.84
In (0.8338, 0.5821, 0.3316)  0.00
In (0.8338, 0.0863, 0.3317)  0.00
In (0.5000, 0.7472, 0.0000)  0.01
In (0.5000, 0.2528, 0.0000)  0.01
In (0.1662, 0.9137, 0.6683)  0.00
In (0.1662, 0.4179, 0.6684)  0.00

Properties
- energy of formation (kJ/mol of formula units) = -517.0
- DOS(E_F) (states/eV per cell) = 11.754

Compound: CaCeIn4
Source: Alexandria
Functional: PBE-GGA
Structure: relaxed

abc: 6.1283 6.1283 6.1283
angles: 60.00 60.00 60.00
Each line ends with the local moment (μB).
Element x y z (fractional)
Ca (0.2500, 0.2500, 0.2500)  0.02
Ce (0.0000, 0.0000, 0.0000)  0.99
In (0.6253, 0.6253, 0.1240)  0.01
In (0.6253, 0.1240, 0.6253)  0.01
In (0.6253, 0.6253, 0.6253)  0.01
In (0.1240, 0.6253, 0.6253)  0.01

Properties
- energy of formation (kJ/mol of formula units) = -174.1
- ΔE to the lowest computed polymorph (meV/atom) = 67
- DOS(E_F) (states/eV per cell) = 10.871

Compound: CaCeIn5
Source: Alexandria
Functional: PBE-GGA
Structure: relaxed

abc: 5.2283 5.2283 7.5395
angles: 90.00 90.00 90.00
Each line ends with the local moment (μB).
Element x y z (fractional)
Ca (0.0000, 0.0000, 0.5000)  0.00
Ce (0.5000, 0.5000, 0.0000)  0.75
In (0.0000, 0.5000, 0.7577)  0.01
In (0.0000, 0.5000, 0.2423)  0.01
In (0.5000, 0.0000, 0.7577)  0.01
In (0.5000, 0.0000, 0.2423)  0.01
In (0.5000, 0.5000, 0.5000)  -0.01

Properties
- energy of formation (kJ/mol of formula units) = -90.8
- DOS(E_F) (states/eV per cell) = 8.823

Compound: CaCe2In9
Source: Alexandria
Functional: PBE-GGA
Structure: relaxed

abc: 4.7190 4.7190 14.1137
angles: 90.00 90.00 90.00
Each line ends with the local moment (μB).
Element x y z (fractional)
Ca (0.0000, 0.0000, 0.0000)  0.00
Ce (0.0000, 0.0000, 0.3338)  0.70
Ce (0.0000, 0.0000, 0.6662)  0.70
In (0.5000, 0.5000, 0.0000)  0.00
In (0.5000, 0.5000, 0.3344)  0.01
In (0.5000, 0.5000, 0.6656)  0.01
In (0.5000, 0.0000, 0.1663)  0.00
In (0.5000, 0.0000, 0.5000)  0.01
In (0.5000, 0.0000, 0.8337)  0.00
In (0.0000, 0.5000, 0.1663)  0.00
In (0.0000, 0.5000, 0.5000)  0.01
In (0.0000, 0.5000, 0.8337)  0.00

Properties
- energy of formation (kJ/mol of formula units) = -437.2
- DOS(E_F) (states/eV per cell) = 14.418

Compound: Ca2Ce2In3
Source: Alexandria
Functional: PBE-GGA
Structure: relaxed

abc: 4.9508 3.4100 12.0252
angles: 90.00 78.12 90.00
Each line ends with the local moment (μB).
Element x y z (fractional)
Ca (0.7030, 0.5000, 0.5940)  0.01
Ca (0.2970, 0.5000, 0.4060)  0.01
Ce (0.5607, 0.5000, 0.8786)  0.82
Ce (0.4393, 0.5000, 0.1214)  0.82
In (0.8573, 0.0000, 0.2854)  -0.01
In (0.0000, 0.0000, 0.0000)  -0.01
In (0.1427, 0.0000, 0.7146)  -0.01

Properties
- energy of formation (kJ/mol of formula units) = -181.3
- DOS(E_F) (states/eV per cell) = 11.418

Compound: Ca2CeIn
Source: Alexandria
Functional: PBE-GGA
Structure: relaxed

abc: 3.5555 3.5555 10.2847
angles: 90.00 90.00 90.00
Each line ends with the local moment (μB).
Element x y z (fractional)
Ca (0.0000, 0.0000, 0.7857)  0.01
Ca (0.0000, 0.0000, 0.2143)  0.01
Ce (0.5000, 0.5000, 0.5000)  1.09
In (0.5000, 0.5000, 0.0000)  -0.01

Properties
- energy of formation (kJ/mol of formula units) = -30.3
- ΔE to the lowest computed polymorph (meV/atom) = 37
- DOS(E_F) (states/eV per cell) = 8.357

Compound: Ca4CeIn5
Source: Alexandria
Functional: PBE-GGA
Structure: relaxed

abc: 3.8636 3.8636 19.2696
angles: 90.00 90.00 90.00
Each line ends with the local moment (μB).
Element x y z (fractional)
Ca (0.0000, 0.0000, 0.2036)  0.00
Ca (0.0000, 0.0000, 0.4007)  0.00
Ca (0.0000, 0.0000, 0.5993)  0.00
Ca (0.0000, 0.0000, 0.7964)  0.00
Ce (0.0000, 0.0000, 0.0000)  0.84
In (0.5000, 0.5000, 0.1026)  0.00
In (0.5000, 0.5000, 0.3018)  0.00
In (0.5000, 0.5000, 0.5000)  0.00
In (0.5000, 0.5000, 0.6982)  0.00
In (0.5000, 0.5000, 0.8974)  0.00

Properties
- energy of formation (kJ/mol of formula units) = -420.0
- DOS(E_F) (states/eV per cell) = 12.565

Compound: Ca2CeIn
Source: Alexandria
Functional: PBE-GGA
Structure: relaxed

abc: 3.5833 3.5833 12.8716
angles: 82.00 82.00 60.00
Each line ends with the local moment (μB).
Element x y z (fractional)
Ca (0.0860, 0.0860, 0.7420)  0.03
Ca (0.9140, 0.9140, 0.2580)  0.03
Ce (0.5000, 0.5000, 0.5000)  0.94
In (0.0000, 0.0000, 0.0000)  0.00

Properties
- energy of formation (kJ/mol of formula units) = 70.8
- ΔE to the lowest computed polymorph (meV/atom) = 298
- DOS(E_F) (states/eV per cell) = 8.010

Compound: CaCeInIr
Source: Alexandria
Functional: PBE-GGA
Structure: relaxed

abc: 5.1343 5.1343 5.1343
angles: 60.00 60.00 60.00
Each line ends with the local moment (μB).
Element x y z (fractional)
Ca (0.2500, 0.2500, 0.2500)  0.00
Ir (0.5000, 0.5000, 0.5000)  -0.02
Ce (0.7500, 0.7500, 0.7500)  0.44
In (0.0000, 0.0000, 0.0000)  0.01

Properties
- energy of formation (kJ/mol of formula units) = -131.3
- DOS(E_F) (states/eV per cell) = 5.756

Compound: CaLaCeIn
Source: Alexandria
Functional: PBE-GGA
Structure: relaxed

abc: 5.6728 5.6728 5.6728
angles: 60.00 60.00 60.00
Each line ends with the local moment (μB).
Element x y z (fractional)
Ca (0.7500, 0.7500, 0.7500)  0.03
In (0.2500, 0.2500, 0.2500)  -0.01
Ce (0.0000, 0.0000, 0.0000)  0.97
La (0.5000, 0.5000, 0.5000)  0.07

Properties
- energy of formation (kJ/mol of formula units) = -32.9
- DOS(E_F) (states/eV per cell) = 10.168

Compound: LiCaCe2In4
Source: Alexandria
Functional: PBE-GGA
Structure: relaxed

abc: 5.3435 5.3435 9.2918
angles: 73.29 73.29 60.00
Each line ends with the local moment (μB).
Element x y z (fractional)
Li (0.5000, 0.5000, 0.5000)  0.00
Ca (0.0000, 0.0000, 0.0000)  0.01
Ce (0.7512, 0.7512, 0.7463)  0.80
Ce (0.2488, 0.2488, 0.2537)  0.80
In (0.3791, 0.3791, 0.8626)  0.02
In (0.8725, 0.8725, 0.3824)  0.02
In (0.1275, 0.1275, 0.6176)  0.02
In (0.6209, 0.6209, 0.1374)  0.02

Properties
- energy of formation (kJ/mol of formula units) = -267.4
- DOS(E_F) (states/eV per cell) = 13.929